[1]
DFT (PBE-GGA) results for Sm2DyRu after structural relaxation.

Unit cell a=3.481 b=3.481 c=9.110 alpha=90.00 beta=90.00 gamma=90.00
Positions (direct):
Sm (0.000, 0.000, 0.814)
Dy (0.500, 0.500, 0.500)
Sm (0.000, 0.000, 0.186)
Ru (0.500, 0.500, 0.000)

Output
The calculation puts the distance to the lowest polymorph of the same formula at 0.70 eV/f.u. Its raw total energy is -23.66 eV per cell. The energy of formation from the pure elements comes out at -85 meV per atom. The total magnetization comes out at 0.00 Bohr magnetons per cell. As for the space-group type: P4/mmm.

***

[2]
DFT (PBE-GGA) results for AsC2 after structural relaxation.

Unit cell a=5.559 b=5.559 c=5.684 alpha=90.00 beta=90.00 gamma=133.52
Positions (direct):
C (0.028, 0.255, 0.250)
C (0.745, 0.972, 0.250)
C (0.255, 0.028, 0.750)
C (0.972, 0.745, 0.750)
As (0.510, 0.490, 0.750)
As (0.490, 0.510, 0.250)

Output
The calculation puts the distance to the lowest polymorph of the same formula at 2.49 eV/f.u. Its raw total energy is -39.12 eV per cell. The energy of formation from the pure elements comes out at 1180 meV per atom. The total magnetization comes out at 0.00 Bohr magnetons per cell. As for the space-group type: Cmcm.

***

[3]
DFT (PBE-GGA) results for Fe2HgPt after structural relaxation.

Unit cell a=4.802 b=4.802 c=4.867 alpha=79.53 beta=79.53 gamma=34.66
Each line ends with the local moment (μB).
Positions (direct):
Fe (0.005, 0.005, 0.957)  2.80
Hg (0.250, 0.250, 0.250)  -0.03
Fe (0.495, 0.495, 0.543)  2.80
Pt (0.750, 0.750, 0.750)  0.22

Output
Its raw total energy is -22.38 eV per cell. The energy of formation from the pure elements comes out at 221 meV per atom. The total magnetization comes out at 5.76 Bohr magnetons per cell. As for the space-group type: C2/m.

***

[4]
DFT (PBE-GGA) results for CsBa2PmO4 after structural relaxation.

Unit cell a=7.958 b=7.958 c=7.622 alpha=118.61 beta=118.61 gamma=93.98
Positions (direct):
Ba (0.500, 0.000, 0.500)
Pm (0.500, 0.500, 0.500)
O (0.778, 0.174, 0.976)
Ba (0.500, 0.500, 0.000)
O (0.259, 0.242, 0.487)
O (0.222, 0.826, 0.024)
Ba (0.000, 0.000, 0.500)
O (0.742, 0.759, 0.987)
Cs (0.000, 0.500, 0.000)
Cs (0.000, 0.500, 0.500)
O (0.258, 0.241, 0.013)
Pm (0.000, 0.000, 0.000)
O (0.326, 0.722, 0.524)
Ba (0.500, 0.000, 0.000)
O (0.741, 0.758, 0.513)
O (0.674, 0.278, 0.476)

Output
Its raw total energy is -95.47 eV per cell. The total magnetization comes out at 0.00 Bohr magnetons per cell. Its formation energy without anion corrections is -2.3065 eV/atom. As for the space-group type: Imma.

***

[5]
DFT (PBE-GGA) results for Tm4GeTe2Pb after structural relaxation.

Unit cell a=4.263 b=7.481 c=7.477 alpha=70.87 beta=90.00 gamma=90.00
Positions (direct):
Tm (0.000, 0.731, 0.743)
Te (0.000, 0.000, 0.000)
Tm (0.000, 0.269, 0.257)
Pb (0.500, 0.500, 0.000)
Tm (0.500, 0.722, 0.270)
Te (0.500, 0.000, 0.500)
Tm (0.500, 0.278, 0.730)
Ge (0.000, 0.500, 0.500)

Output
Its raw total energy is -40.35 eV per cell. The total magnetization comes out at 0.00 Bohr magnetons per cell. Its formation energy without anion corrections is -0.9816 eV/atom. As for the space-group type: P2/m.

***

[6]
DFT (PBE-GGA) results for LaPm6Er2Mg after structural relaxation.

Unit cell a=9.565 b=8.593 c=8.593 alpha=106.58 beta=96.83 gamma=96.83
Positions (direct):
Pm (0.596, 0.436, 0.672)
La (0.250, 0.935, 0.065)
Pm (0.426, 0.265, 0.921)
Pm (0.096, 0.672, 0.436)
Pm (0.170, 0.536, 0.968)
La (0.750, 0.065, 0.935)
Er (0.094, 0.271, 0.203)
Er (0.906, 0.729, 0.797)
Pm (0.404, 0.564, 0.328)
Pm (0.670, 0.968, 0.536)
Pm (0.330, 0.032, 0.464)
Mg (0.250, 0.401, 0.599)
Er (0.406, 0.797, 0.729)
Pm (0.904, 0.328, 0.564)
Er (0.594, 0.203, 0.271)
Pm (0.574, 0.735, 0.079)
Pm (0.830, 0.464, 0.032)
Pm (0.926, 0.921, 0.265)
Pm (0.074, 0.079, 0.735)
Mg (0.750, 0.599, 0.401)

Output
Its raw total energy is -86.19 eV per cell. The energy of formation from the pure elements comes out at 106 meV per atom. The total magnetization comes out at 0.00 Bohr magnetons per cell. As for the space-group type: C2/c.

***

[7]
DFT (PBE-GGA) results for In2PtRh2 after structural relaxation.

Unit cell a=7.409 b=7.409 c=3.191 alpha=90.00 beta=90.00 gamma=90.00
Positions (direct):
In (0.332, 0.168, 0.500)
Rh (0.632, 0.132, 0.000)
Rh (0.368, 0.868, 0.000)
Pt (0.500, 0.500, 0.000)
In (0.168, 0.668, 0.500)
Rh (0.132, 0.368, 0.000)
Rh (0.868, 0.632, 0.000)
Pt (0.000, 0.000, 0.000)
In (0.832, 0.332, 0.500)
In (0.668, 0.832, 0.500)

Output
Its raw total energy is -54.42 eV per cell. The energy of formation from the pure elements comes out at -198 meV per atom. The total magnetization comes out at 0.00 Bohr magnetons per cell. As for the space-group type: P4/mbm.

***

[8]
DFT (PBE-GGA) results for DyY5ErTh2 after structural relaxation.

Unit cell a=8.765 b=8.765 c=9.939 alpha=116.16 beta=116.16 gamma=90.00
Positions (direct):
Th (0.619, 0.119, 0.000)
Er (0.750, 0.250, 0.500)
Er (0.250, 0.750, 0.500)
Y (0.571, 0.650, 0.721)
Y (0.500, 0.500, 0.000)
Th (0.881, 0.619, 0.000)
Th (0.119, 0.381, 0.000)
Y (0.429, 0.350, 0.279)
Dy (0.750, 0.750, 0.500)
Dy (0.250, 0.250, 0.500)
Y (0.929, 0.429, 0.279)
Y (0.071, 0.571, 0.721)
Th (0.381, 0.881, 0.000)
Y (0.350, 0.850, 0.279)
Y (0.000, 0.000, 0.000)
Y (0.850, 0.929, 0.279)
Y (0.650, 0.150, 0.721)
Y (0.150, 0.071, 0.721)

Output
Its raw total energy is -106.55 eV per cell. The energy of formation from the pure elements comes out at 339 meV per atom. The total magnetization comes out at 0.00 Bohr magnetons per cell. As for the space-group type: I4/mcm.

***

[9]
DFT (PBE-GGA) results for Sm2Dy3ThSe6 after structural relaxation.

Unit cell a=4.108 b=8.311 c=9.278 alpha=104.09 beta=102.79 gamma=90.00
Positions (direct):
Se (0.997, 0.259, 0.994)
Se (0.003, 0.741, 0.006)
Se (0.671, 0.078, 0.342)
Dy (0.500, 0.500, 0.000)
Dy (0.835, 0.166, 0.670)
Sm (0.837, 0.672, 0.673)
Dy (0.165, 0.834, 0.330)
Sm (0.163, 0.328, 0.327)
Th (0.500, 0.000, 0.000)
Se (0.334, 0.412, 0.667)
Se (0.329, 0.922, 0.658)
Se (0.666, 0.588, 0.333)

Output
Its raw total energy is -72.33 eV per cell. The total magnetization comes out at 0.00 Bohr magnetons per cell. Its formation energy without anion corrections is -1.7300 eV/atom. As for the space-group type: C2/m.

***

[10]
DFT (PBE-GGA) results for LiSiRu2 after structural relaxation.

Unit cell a=2.921 b=4.113 c=4.113 alpha=90.00 beta=90.00 gamma=90.00
Positions (direct):
Ru (0.000, 0.000, 0.000)
Ru (0.000, 0.500, 0.500)
Si (0.500, 0.500, 0.000)
Li (0.500, 0.000, 0.500)

Output
Its raw total energy is -26.90 eV per cell. The total magnetization comes out at 0.00 Bohr magnetons per cell. Its formation energy without anion corrections is -0.2524 eV/atom. As for the space-group type: P4/mmm.

***

[11]
DFT (PBE-GGA) results for SrMgZn2Pt after structural relaxation.

Unit cell a=4.257 b=4.346 c=6.627 alpha=109.14 beta=108.74 gamma=90.00
Positions (direct):
Zn (0.699, 0.199, 0.398)
Pt (0.832, 0.832, 0.664)
Sr (0.435, 0.435, 0.869)
Mg (0.197, 0.697, 0.394)
Zn (0.049, 0.049, 0.099)

Output
The calculation puts the distance to the lowest polymorph of the same formula at 0.00 eV/f.u. Its raw total energy is -14.36 eV per cell. The energy of formation from the pure elements comes out at -498 meV per atom. The total magnetization comes out at 0.00 Bohr magnetons per cell. As for the space-group type: Imm2.

***

[12]
DFT (PBE-GGA) results for CaCuGe2O6 after structural relaxation.

Unit cell a=9.356 b=5.257 c=10.252 alpha=76.12 beta=90.00 gamma=90.00
Each line ends with the local moment (μB).
Positions (direct):
O (0.692, 0.194, 0.897)  0.01
O (0.133, 0.739, 0.875)  0.07
Cu (0.841, 0.527, 0.225)  0.60
Ge (0.351, 0.918, 0.494)  0.00
O (0.022, 0.678, 0.563)  0.01
O (0.248, 0.193, 0.401)  0.01
Ca (0.046, 0.029, 0.286)  0.00
O (0.516, 0.774, 0.848)  0.08
O (0.192, 0.306, 0.103)  0.01
Ge (0.150, 0.652, 0.051)  0.01
Cu (0.341, 0.973, 0.775)  0.60
O (0.978, 0.322, 0.437)  0.01
O (0.867, 0.261, 0.125)  0.07
Ge (0.149, 0.418, 0.494)  0.00
Ge (0.649, 0.082, 0.506)  0.00
Ca (0.954, 0.971, 0.714)  0.00
O (0.308, 0.806, 0.103)  0.01
Cu (0.159, 0.473, 0.775)  0.60
Cu (0.659, 0.027, 0.225)  0.60
O (0.478, 0.178, 0.563)  0.01
Ge (0.850, 0.348, 0.949)  0.01
Ge (0.350, 0.152, 0.051)  0.01
O (0.984, 0.274, 0.848)  0.08
O (0.180, 0.224, 0.662)  0.14
O (0.820, 0.776, 0.338)  0.14
O (0.252, 0.693, 0.401)  0.01
O (0.808, 0.694, 0.897)  0.01
Ca (0.454, 0.529, 0.286)  0.00
Ca (0.546, 0.471, 0.714)  0.00
O (0.320, 0.724, 0.662)  0.14
O (0.752, 0.807, 0.599)  0.01
O (0.680, 0.276, 0.338)  0.14
O (0.016, 0.726, 0.152)  0.08
O (0.522, 0.822, 0.437)  0.01
O (0.484, 0.226, 0.152)  0.08
O (0.633, 0.761, 0.125)  0.07
Ge (0.650, 0.848, 0.949)  0.01
Ge (0.851, 0.582, 0.506)  0.00
O (0.367, 0.239, 0.875)  0.07
O (0.748, 0.307, 0.599)  0.01

Output
The calculation puts the distance to the lowest polymorph of the same formula at 0.00 eV/f.u. Its raw total energy is -249.67 eV per cell. The total magnetization comes out at 3.88 Bohr magnetons per cell. Its formation energy without anion corrections is -1.7336 eV/atom. As for the space-group type: P2_1/c.